# 1
VASP calculation (PBE) on Ho5Co2Ru after structural relaxation.

The structure in CIF format:
```
data_Ho5Co2Ru
_chemical_formula_sum 'Ho20 Co8 Ru4'
_cell_length_a 7.079
_cell_length_b 7.079
_cell_length_c 14.086
_cell_angle_alpha 90.00
_cell_angle_beta 90.00
_cell_angle_gamma 90.00
_symmetry_space_group_name_H-M 'I 4/m c m'
_symmetry_Int_Tables_number 140
_symmetry_space_group_name_Hall '-I 4 2c'
loop_
_atom_site_label
_atom_site_type_symbol
_atom_site_fract_x
_atom_site_fract_y
_atom_site_fract_z
Ho1 Ho 0.000 0.000 0.000
Ho2 Ho 0.179 0.321 0.142
Co1 Co 0.112 0.388 0.500
Ru1 Ru 0.000 0.000 0.250
```

## Properties
ρ = 9.8 g cm⁻³
VASP energy = -6.09 eV/atom



# 2
VASP calculation (PBE) on Ho2CoRu after structural relaxation.

The structure in CIF format:
```
data_Ho2CoRu
_chemical_formula_sum 'Ho2 Co1 Ru1'
_cell_length_a 3.372
_cell_length_b 3.372
_cell_length_c 6.644
_cell_angle_alpha 90.00
_cell_angle_beta 90.00
_cell_angle_gamma 90.00
_symmetry_space_group_name_H-M 'P 4/m m m'
_symmetry_Int_Tables_number 123
_symmetry_space_group_name_Hall '-P 4 2'
loop_
_atom_site_label
_atom_site_type_symbol
_atom_site_fract_x
_atom_site_fract_y
_atom_site_fract_z
Ho1 Ho 0.000 0.000 0.248
Co1 Co 0.500 0.500 0.000
Ru1 Ru 0.500 0.500 0.500
```

## Properties
ρ = 10.8 g cm⁻³
VASP energy = -6.66 eV/atom



# 3
VASP calculation (PBE) on Ho2CoRu3 after structural relaxation.

The structure in CIF format:
```
data_Ho2CoRu3
_chemical_formula_sum 'Ho6 Co3 Ru9'
_cell_length_a 5.2685
_cell_length_b 5.2685
_cell_length_c 12.8301
_cell_angle_alpha 90.00
_cell_angle_beta 90.00
_cell_angle_gamma 120.00
_symmetry_space_group_name_H-M 'R -3 m'
_symmetry_Int_Tables_number 166
_symmetry_space_group_name_Hall '-R 3 2"'
loop_
_atom_site_label
_atom_site_type_symbol
_atom_site_fract_x
_atom_site_fract_y
_atom_site_fract_z
Ho1 Ho 0.0000 0.0000 0.1244
Co1 Co 0.0000 0.0000 0.5000
Ru1 Ru 0.0000 0.5000 0.0000
```

## Properties
ρ = 11.2 g cm⁻³
VASP energy = -7.66 eV/atom



# 4
VASP calculation (PBE) on Ho3Co3Ru after structural relaxation.

The structure in CIF format:
```
data_Ho3Co3Ru
_chemical_formula_sum 'Ho12 Co12 Ru4'
_cell_length_a 4.112
_cell_length_b 10.053
_cell_length_c 12.535
_cell_angle_alpha 90.00
_cell_angle_beta 90.00
_cell_angle_gamma 90.00
_symmetry_space_group_name_H-M 'C m c m'
_symmetry_Int_Tables_number 63
_symmetry_space_group_name_Hall '-C 2c 2'
loop_
_atom_site_label
_atom_site_type_symbol
_atom_site_fract_x
_atom_site_fract_y
_atom_site_fract_z
Ho1 Ho 0.000 0.012 0.250
Ho2 Ho 0.000 0.279 0.605
Co1 Co 0.000 0.315 0.250
Co2 Co 0.000 0.431 0.091
Ru1 Ru 0.000 0.000 0.000
```

## Properties
ρ = 9.9 g cm⁻³
VASP energy = -6.59 eV/atom



| no. | total magnetization (μB/cell) | energy relative to the elements (eV/atom) |
| --- | --- | --- |
| 1 | 0.00 | -0.29 |
| 2 | 0.38 | -0.27 |
| 3 | 2.08 | -0.31 |
| 4 | 9.43 | -0.26 |